# Na2Sr7Ca2 PBE relaxed
# energy of formation from the pure elements = 1.190 eV per formula unit
# polymorph energy (0 for the lowest one) = 67 meV per atom
# symmetry = Imm2 (44)
# M_tot = 0.0 μB per cell
data_Na2Sr7Ca2
_chemical_formula_sum 'Na2 Sr7 Ca2'
_symmetry_space_group_name_H-M 'P 1'
_symmetry_Int_Tables_number 1
_cell_length_a 10.282
_cell_length_b 10.282
_cell_length_c 10.282
_cell_angle_alpha 143.02
_cell_angle_beta 76.48
_cell_angle_gamma 115.78
loop_
_symmetry_equiv_pos_as_xyz
'x,y,z'
loop_
_atom_site_label
_atom_site_fract_x
_atom_site_fract_y
_atom_site_fract_z
Na1 0.161 0.000 0.161
Na2 0.839 0.000 0.839
Sr1 0.063 0.691 0.372
Sr2 0.075 0.330 0.744
Sr3 0.319 0.691 0.628
Sr4 0.513 0.013 0.500
Sr5 0.533 0.655 0.878
Sr6 0.586 0.330 0.256
Sr7 0.777 0.655 0.122
Ca1 0.294 0.294 0.000
Ca2 0.872 0.372 0.500